BeCdFe2 | PBE | relaxed

Summary:
- Space group: Cmmm, No. 65
- Energy relative to the lowest polymorph listed for this composition: 209.7 meV/atom
- Total magnetization: 1.178 μB per atom
- Density of states at the Fermi level: 0.4323 states/eV per atom
- E: -5.04 eV per atom

a b c (Å): 4.6919 4.6919 2.6307
angles (deg): 90.01 90.01 114.13
Each line ends with the local moment (μB).
Sites, in units of the cell vectors:
Cd1 0.0000 0.5000 0.5000  -0.06
Fe1 0.0000 0.0000 0.0000  2.47
Fe2 0.5000 0.5000 0.0000  2.47
Be1 0.5000 0.0000 0.5000  -0.09